Material: LaCuPdPb
Method: DFT, PBE
State: relaxed

a = 7.0829 Å, b = 7.0829 Å, c = 7.0829 Å
α = 90.00°, β = 90.00°, γ = 90.00°
Space group F-43m (No. 216)
Asymmetric unit:
La: 0.0000 0.0000 0.0000 (multiplicity 4)
Cu: 0.2500 0.2500 0.7500 (multiplicity 4)
Pd: 0.0000 0.0000 0.5000 (multiplicity 4)
Pb: 0.2500 0.2500 0.2500 (multiplicity 4)

Properties
- polymorph energy (0 for the lowest one) (meV per atom) = 183

***

Material: ErSi
Method: DFT, PBE
State: relaxed

a = 6.4392 Å, b = 6.4392 Å, c = 6.4392 Å
α = 90.00°, β = 90.00°, γ = 90.00°
Space group F-43m (No. 216)
Asymmetric unit:
Er: 0.0000 0.0000 0.0000 (multiplicity 4)
Si: 0.2500 0.2500 0.7500 (multiplicity 4)

Properties
- VASP energy (eV for the cell shown) = -36.820

***

Material: GdSbOs
Method: DFT, PBE
State: relaxed

a = 6.5871 Å, b = 6.5871 Å, c = 6.5871 Å
α = 90.00°, β = 90.00°, γ = 90.00°
Space group F-43m (No. 216)
Asymmetric unit:
Gd: 0.0000 0.0000 0.0000 (multiplicity 4)
Sb: 0.0000 0.0000 0.5000 (multiplicity 4)
Os: 0.2500 0.2500 0.2500 (multiplicity 4)

Properties
- polymorph energy (0 for the lowest one) (meV per atom) = 0

***

Material: TmInAsO
Method: DFT, PBE
State: relaxed

a = 5.4127 Å, b = 6.0097 Å, c = 5.7712 Å
α = 90.00°, β = 90.00°, γ = 90.00°
Space group Pmc2_1 (No. 26)
Asymmetric unit:
Tm: 0.0000 0.1786 0.0000 (multiplicity 2)
In: 0.5000 0.2288 0.4023 (multiplicity 2)
As: 0.5000 0.2778 0.8941 (multiplicity 2)
O: 0.0000 0.1349 0.3558 (multiplicity 2)

Properties
- polymorph energy (0 for the lowest one) (meV per atom) = 86

***

Material: InAu10
Method: DFT, PBE
State: relaxed

a = 8.9876 Å, b = 4.0400 Å, c = 32.9845 Å
α = 90.00°, β = 90.06°, γ = 90.00°
Space group C2/m (No. 12)
Asymmetric unit:
In: 0.1542 0.0000 0.1844 (multiplicity 4)
Au: 0.0464 0.0000 0.6944 (multiplicity 4)
Au: 0.0504 0.5000 0.2451 (multiplicity 4)
Au: 0.0495 0.5000 0.5448 (multiplicity 4)
Au: 0.0510 0.0000 0.3954 (multiplicity 4)
Au: 0.1478 0.0000 0.7888 (multiplicity 4)
Au: 0.1485 0.5000 0.6341 (multiplicity 4)
Au: 0.1500 0.0000 0.4849 (multiplicity 4)
Au: 0.1523 0.5000 0.3359 (multiplicity 4)
Au: 0.2458 0.5000 0.7232 (multiplicity 4)
Au: 0.2495 0.0000 0.5743 (multiplicity 4)

Properties
- VASP energy (eV for the cell shown) = -140.661

***

Material: Y2ScNb
Method: DFT, PBE
State: relaxed

a = 7.3818 Å, b = 7.3818 Å, c = 7.3818 Å
α = 90.00°, β = 90.00°, γ = 90.00°
Space group F-43m (No. 216)
Asymmetric unit:
Y: 0.0000 0.0000 0.0000 (multiplicity 4)
Y: 0.2500 0.2500 0.2500 (multiplicity 4)
Sc: 0.0000 0.0000 0.5000 (multiplicity 4)
Nb: 0.2500 0.2500 0.7500 (multiplicity 4)

Properties
- DFT formation energy (meV/atom) = 331

***

Material: MgCdNO
Method: DFT, PBE
State: relaxed

a = 4.5962 Å, b = 4.5962 Å, c = 4.3949 Å
α = 90.00°, β = 90.00°, γ = 90.00°
Space group P4/nmm (No. 129, origin choice 2)
Asymmetric unit:
Mg: 0.2500 0.7500 0.0000 (multiplicity 2)
Cd: 0.2500 0.2500 0.4994 (multiplicity 2)
N: 0.2500 0.2500 0.9994 (multiplicity 2)
O: 0.2500 0.7500 0.5000 (multiplicity 2)

Properties
- polymorph energy (0 for the lowest one) (meV per atom) = 145

***

Material: GdYTe
Method: DFT, PBE
State: relaxed

a = 7.1843 Å, b = 7.1843 Å, c = 7.1843 Å
α = 90.00°, β = 90.00°, γ = 90.00°
Space group F-43m (No. 216)
Asymmetric unit:
Gd: 0.0000 0.0000 0.0000 (multiplicity 4)
Y: 0.0000 0.0000 0.5000 (multiplicity 4)
Te: 0.2500 0.2500 0.2500 (multiplicity 4)

Properties
- polymorph energy (0 for the lowest one) (meV per atom) = 0